# 1
Here is an optimized crystal structure of AcPmGe2 from Alexandria. Energies are from PBE.

Results
The offset from the most stable computed form is 218 meV per atom.

Lattice parameters (Å, degrees): 5.368 5.368 5.368 60.00 60.00 60.00
Atoms (fractional coordinates):
Ac1 0.000 0.000 0.000
Pm1 0.500 0.500 0.500
Ge1 0.250 0.250 0.250
Ge2 0.750 0.750 0.750


# 2
Here is an optimized crystal structure of Ac4PmGe5 from Alexandria. Energies are from PBE.

Lattice parameters (Å, degrees): 7.849 7.849 7.849 99.55 99.55 131.93
Atoms (fractional coordinates):
Ac1 0.096 0.300 0.396
Ac2 0.300 0.904 0.205
Ac3 0.700 0.096 0.795
Ac4 0.904 0.700 0.604
Pm1 0.500 0.500 0.000
Ge1 0.000 0.000 0.000
Ge2 0.218 0.594 0.812
Ge3 0.406 0.218 0.624
Ge4 0.594 0.782 0.376
Ge5 0.782 0.406 0.188


# 3
Here is an optimized crystal structure of Ac3Pm4Ge3 from Alexandria. Energies are from PBE.

Lattice parameters (Å, degrees): 9.465 9.465 9.465 109.47 109.47 109.47
Atoms (fractional coordinates):
Ac1 0.125 0.750 0.875
Ac2 0.250 0.625 0.375
Ac3 0.375 0.250 0.625
Ac4 0.625 0.375 0.250
Ac5 0.750 0.875 0.125
Ac6 0.875 0.125 0.750
Pm1 0.000 0.331 0.500
Pm2 0.000 0.831 0.500
Pm3 0.169 0.169 0.169
Pm4 0.331 0.500 0.000
Pm5 0.500 0.000 0.331
Pm6 0.500 0.000 0.831
Pm7 0.669 0.669 0.669
Pm8 0.831 0.500 0.000
Ge1 0.125 0.875 0.250
Ge2 0.250 0.125 0.875
Ge3 0.375 0.625 0.750
Ge4 0.625 0.750 0.375
Ge5 0.750 0.375 0.625
Ge6 0.875 0.250 0.125


# 4
Here is an optimized crystal structure of AcPm3Ge3 from Alexandria. Energies are from PBE.

Lattice parameters (Å, degrees): 8.043 8.043 8.043 69.62 69.62 69.62
Atoms (fractional coordinates):
Ac1 0.166 0.166 0.166
Ac2 0.834 0.834 0.834
Pm1 0.124 0.397 0.697
Pm2 0.303 0.876 0.603
Pm3 0.397 0.697 0.124
Pm4 0.603 0.303 0.876
Pm5 0.697 0.124 0.397
Pm6 0.876 0.603 0.303
Ge1 0.064 0.775 0.430
Ge2 0.225 0.570 0.936
Ge3 0.430 0.064 0.775
Ge4 0.570 0.936 0.225
Ge5 0.775 0.430 0.064
Ge6 0.936 0.225 0.570


# 5
Here is an optimized crystal structure of AcPm5Ge6 from Alexandria. Energies are from PBE.

Lattice parameters (Å, degrees): 7.472 7.472 7.467 99.59 99.59 119.66
Atoms (fractional coordinates):
Ac1 0.000 0.000 0.000
Pm1 0.162 0.838 0.500
Pm2 0.333 0.667 0.000
Pm3 0.500 0.500 0.500
Pm4 0.667 0.333 0.000
Pm5 0.838 0.162 0.500
Ge1 0.088 0.436 0.259
Ge2 0.262 0.262 0.741
Ge3 0.436 0.088 0.259
Ge4 0.564 0.912 0.741
Ge5 0.738 0.738 0.259
Ge6 0.912 0.564 0.741


# 6
Here is an optimized crystal structure of AcPmGe2 from Alexandria. Energies are from PBE.

Results
The offset from the most stable computed form is 0 meV per atom.

Lattice parameters (Å, degrees): 4.203 6.200 8.478 90.00 90.00 90.00
Atoms (fractional coordinates):
Ac1 0.000 0.127 0.000
Ac2 0.000 0.873 0.500
Pm1 0.500 0.371 0.363
Pm2 0.500 0.629 0.863
Ge1 0.000 0.397 0.641
Ge2 0.000 0.603 0.141
Ge3 0.500 0.137 0.714
Ge4 0.500 0.863 0.214


# 7
Here is an optimized crystal structure of AcPm12Ge7 from Alexandria. Energies are from PBE.

Lattice parameters (Å, degrees): 9.254 9.254 9.254 110.71 110.71 110.71
Atoms (fractional coordinates):
Ac1 0.000 0.000 0.000
Pm1 0.000 0.268 0.732
Pm2 0.000 0.732 0.268
Pm3 0.165 0.472 0.472
Pm4 0.268 0.000 0.732
Pm5 0.268 0.732 0.000
Pm6 0.472 0.165 0.472
Pm7 0.472 0.472 0.165
Pm8 0.528 0.528 0.835
Pm9 0.528 0.835 0.528
Pm10 0.732 0.000 0.268
Pm11 0.732 0.268 0.000
Pm12 0.835 0.528 0.528
Ge1 0.136 0.136 0.469
Ge2 0.136 0.469 0.136
Ge3 0.469 0.136 0.136
Ge4 0.500 0.500 0.500
Ge5 0.531 0.864 0.864
Ge6 0.864 0.531 0.864
Ge7 0.864 0.864 0.531


# 8
Here is an optimized crystal structure of Ac6PmGe3 from Alexandria. Energies are from PBE.

Lattice parameters (Å, degrees): 9.436 9.436 8.325 90.00 90.00 97.69
Atoms (fractional coordinates):
Ac1 0.051 0.949 0.500
Ac2 0.056 0.448 0.637
Ac3 0.222 0.778 0.871
Ac4 0.286 0.389 0.001
Ac5 0.389 0.286 0.501
Ac6 0.448 0.056 0.137
Ac7 0.552 0.944 0.637
Ac8 0.611 0.714 0.001
Ac9 0.714 0.611 0.501
Ac10 0.778 0.222 0.371
Ac11 0.944 0.552 0.137
Ac12 0.949 0.051 0.000
Pm1 0.330 0.670 0.357
Pm2 0.670 0.330 0.857
Ge1 0.105 0.264 0.301
Ge2 0.264 0.105 0.801
Ge3 0.421 0.579 0.693
Ge4 0.579 0.421 0.193
Ge5 0.736 0.895 0.301
Ge6 0.895 0.736 0.801


# 9
Here is an optimized crystal structure of AcPm3Ge from Alexandria. Energies are from PBE.

Results
The offset from the most stable computed form is 33 meV per atom.

Lattice parameters (Å, degrees): 5.726 5.726 5.726 90.00 90.00 90.00
Atoms (fractional coordinates):
Ac1 0.000 0.000 0.000
Pm1 0.000 0.500 0.500
Pm2 0.500 0.000 0.500
Pm3 0.500 0.500 0.000
Ge1 0.500 0.500 0.500


# 10
Here is an optimized crystal structure of Ac2Pm3Ge4 from Alexandria. Energies are from PBE.

Results
The offset from the most stable computed form is 0 meV per atom.

Lattice parameters (Å, degrees): 8.125 8.252 7.997 90.00 107.54 90.00
Atoms (fractional coordinates):
Ac1 0.197 0.175 0.077
Ac2 0.197 0.325 0.577
Ac3 0.803 0.675 0.423
Ac4 0.803 0.825 0.923
Pm1 0.248 0.673 0.259
Pm2 0.248 0.827 0.759
Pm3 0.500 0.000 0.500
Pm4 0.500 0.500 0.000
Pm5 0.752 0.173 0.241
Pm6 0.752 0.327 0.741
Ge1 0.082 0.536 0.875
Ge2 0.082 0.964 0.375
Ge3 0.494 0.132 0.863
Ge4 0.494 0.368 0.363
Ge5 0.506 0.632 0.637
Ge6 0.506 0.868 0.137
Ge7 0.918 0.036 0.625
Ge8 0.918 0.464 0.125


# 11
Here is an optimized crystal structure of Ac2PmGe from Alexandria. Energies are from PBE.

Results
The offset from the most stable computed form is 270 meV per atom.

Lattice parameters (Å, degrees): 5.759 5.759 5.759 60.00 60.00 60.00
Atoms (fractional coordinates):
Ac1 0.250 0.250 0.250
Ac2 0.750 0.750 0.750
Pm1 0.000 0.000 0.000
Ge1 0.500 0.500 0.500


# 12
Here is an optimized crystal structure of Ac2PmGe6 from Alexandria. Energies are from PBE.

Lattice parameters (Å, degrees): 8.693 8.693 8.693 151.59 129.22 59.21
Atoms (fractional coordinates):
Ac1 0.154 0.154 0.000
Ac2 0.846 0.846 0.000
Pm1 0.500 0.000 0.500
Ge1 0.176 0.500 0.676
Ge2 0.188 0.355 0.833
Ge3 0.478 0.645 0.833
Ge4 0.522 0.355 0.167
Ge5 0.812 0.645 0.167
Ge6 0.824 0.500 0.324


# 13
Here is an optimized crystal structure of Ac3PmGe6 from Alexandria. Energies are from PBE.

Lattice parameters (Å, degrees): 8.254 8.254 8.254 98.33 98.33 98.33
Atoms (fractional coordinates):
Ac1 0.185 0.750 0.315
Ac2 0.250 0.685 0.815
Ac3 0.315 0.185 0.750
Ac4 0.685 0.815 0.250
Ac5 0.750 0.315 0.185
Ac6 0.815 0.250 0.685
Pm1 0.000 0.000 0.000
Pm2 0.500 0.500 0.500
Ge1 0.016 0.090 0.382
Ge2 0.090 0.382 0.016
Ge3 0.118 0.410 0.484
Ge4 0.382 0.016 0.090
Ge5 0.410 0.484 0.118
Ge6 0.484 0.118 0.410
Ge7 0.516 0.882 0.590
Ge8 0.590 0.516 0.882
Ge9 0.618 0.984 0.910
Ge10 0.882 0.590 0.516
Ge11 0.910 0.618 0.984
Ge12 0.984 0.910 0.618


# 14
Here is an optimized crystal structure of AcPmGe2 from Alexandria. Energies are from PBE.

Results
The offset from the most stable computed form is 5 meV per atom.

Lattice parameters (Å, degrees): 4.173 6.204 6.204 43.61 90.00 90.00
Atoms (fractional coordinates):
Ac1 0.000 0.000 0.000
Pm1 0.500 0.276 0.276
Ge1 0.000 0.724 0.724
Ge2 0.500 0.570 0.570


# 15
Here is an optimized crystal structure of AcPm2Ge from Alexandria. Energies are from PBE.

Results
The offset from the most stable computed form is 8 meV per atom.

Lattice parameters (Å, degrees): 9.768 9.768 9.768 24.60 24.60 24.60
Atoms (fractional coordinates):
Ac1 0.000 0.000 0.000
Pm1 0.227 0.227 0.227
Pm2 0.443 0.443 0.443
Ge1 0.836 0.836 0.836


# 16
Here is an optimized crystal structure of Ac2PmGe7 from Alexandria. Energies are from PBE.

Lattice parameters (Å, degrees): 4.522 4.522 12.116 90.00 90.00 90.00
Atoms (fractional coordinates):
Ac1 0.000 0.500 0.228
Ac2 0.500 0.000 0.772
Pm1 0.000 0.000 0.500
Ge1 0.000 0.000 0.000
Ge2 0.000 0.500 0.672
Ge3 0.000 0.500 0.885
Ge4 0.500 0.000 0.115
Ge5 0.500 0.000 0.328
Ge6 0.500 0.500 0.000
Ge7 0.500 0.500 0.500


# 17
Here is an optimized crystal structure of Ac3Pm3Ge2 from Alexandria. Energies are from PBE.

Lattice parameters (Å, degrees): 6.753 6.753 18.754 90.00 90.00 140.95
Atoms (fractional coordinates):
Ac1 0.049 0.951 0.613
Ac2 0.049 0.951 0.887
Ac3 0.332 0.668 0.750
Ac4 0.668 0.332 0.250
Ac5 0.951 0.049 0.113
Ac6 0.951 0.049 0.387
Pm1 0.351 0.649 0.529
Pm2 0.351 0.649 0.971
Pm3 0.379 0.621 0.250
Pm4 0.621 0.379 0.750
Pm5 0.649 0.351 0.029
Pm6 0.649 0.351 0.471
Ge1 0.241 0.759 0.121
Ge2 0.241 0.759 0.379
Ge3 0.759 0.241 0.621
Ge4 0.759 0.241 0.879


# 18
Here is an optimized crystal structure of Ac2PmGe from Alexandria. Energies are from PBE.

Results
The offset from the most stable computed form is 0 meV per atom.

Lattice parameters (Å, degrees): 6.345 6.345 4.172 105.85 105.85 105.96
Atoms (fractional coordinates):
Ac1 0.190 0.810 0.000
Ac2 0.810 0.190 0.000
Pm1 0.551 0.551 0.466
Ge1 0.253 0.253 0.723


# 19
Here is an optimized crystal structure of Ac3Pm2Ge3 from Alexandria. Energies are from PBE.

Lattice parameters (Å, degrees): 11.599 11.599 11.599 159.31 153.40 33.94
Atoms (fractional coordinates):
Ac1 0.000 0.000 0.000
Ac2 0.386 0.886 0.500
Ac3 0.614 0.114 0.500
Pm1 0.232 0.232 0.000
Pm2 0.768 0.768 0.000
Ge1 0.135 0.635 0.500
Ge2 0.500 0.500 0.000
Ge3 0.865 0.365 0.500


# 20
Here is an optimized crystal structure of Ac2Pm3Ge4 from Alexandria. Energies are from PBE.

Results
The offset from the most stable computed form is 111 meV per atom.

Lattice parameters (Å, degrees): 9.184 9.184 8.558 90.00 90.00 133.08
Atoms (fractional coordinates):
Ac1 0.108 0.892 0.912
Ac2 0.392 0.608 0.412
Ac3 0.608 0.392 0.588
Ac4 0.892 0.108 0.088
Pm1 0.000 0.000 0.500
Pm2 0.044 0.456 0.750
Pm3 0.456 0.044 0.250
Pm4 0.500 0.500 0.000
Pm5 0.544 0.956 0.750
Pm6 0.956 0.544 0.250
Ge1 0.191 0.809 0.554
Ge2 0.218 0.282 0.750
Ge3 0.282 0.218 0.250
Ge4 0.309 0.691 0.054
Ge5 0.691 0.309 0.946
Ge6 0.718 0.782 0.750
Ge7 0.782 0.718 0.250
Ge8 0.809 0.191 0.446


Computed formation enthalpy at 0 K, in the same sequence as the records: -0.525, -0.551, -0.473, -0.618, -0.632, -0.743, -0.520, -0.382, -0.104, -0.803, -0.016, -0.533, -0.623, -0.739, -0.302, -0.423, -0.356, -0.286, -0.475, -0.692 eV/atom.